# 1
The following is a DFT calculation (PBE-GGA) of a relaxed structure of Ac4Tl5Cu2.

Computed properties:
Energy ... -3.557 eV per atom
Formation energy from the elements ... -2.7 eV/f.u.
Space-group type ... P2/m, No. 10
Spin magnetization ... 0.00 μB per atom

Geometry as POSCAR:
```
Ac4Tl5Cu2
1.0
8.2888 0.0000 0.0000
0.0000 4.0797 0.0000
-0.8593 0.0000 10.1872
Ac Tl Cu
4 5 2
Cartesian
1.2780 0.0000 3.5932
1.1171 0.0000 9.4500
6.3124 0.0000 0.7371
6.1515 0.0000 6.5940
0.7657 2.0399 6.5563
3.5872 2.0399 1.7629
3.7147 2.0399 5.0936
3.8423 2.0399 8.4243
6.6637 2.0399 3.6309
0.4488 2.0399 1.2160
6.9806 2.0399 8.9711
```

***

# 2
The following is a DFT calculation (PBE-GGA) of a relaxed structure of Ac4TlCu.

Computed properties:
Energy ... -3.835 eV per atom
Formation energy from the elements ... -0.1 eV/f.u.
Space-group type ... P2_1/c, No. 14
Spin magnetization ... 0.00 μB per atom
ΔE to the lowest computed polymorph ... 95 meV/atom

Geometry as POSCAR:
```
Ac4TlCu
1.0
7.8130 0.0000 0.0000
0.0000 8.2636 0.0000
-0.9298 0.0000 7.4390
Ac Tl Cu
8 2 2
Cartesian
0.9956 1.3599 1.3430
0.5307 2.7719 5.0625
2.4990 5.3613 0.7053
2.0341 7.0341 4.4248
4.8490 1.2295 3.0142
4.3841 2.9023 6.7337
6.3524 5.4917 2.3765
5.8875 6.9037 6.0960
3.9065 0.0000 0.0000
3.4416 4.1318 3.7195
-0.4649 0.0000 3.7195
0.0000 4.1318 0.0000
```

***

# 3
The following is a DFT calculation (PBE-GGA) of a relaxed structure of Ac8Tl2Cu.

Computed properties:
Energy ... -3.897 eV per atom
Formation energy from the elements ... -1.2 eV/f.u.
Space-group type ... C2/m, No. 12
Spin magnetization ... 0.00 μB per atom

Geometry as POSCAR:
```
Ac8Tl2Cu
1.0
10.2370 -2.8044 0.0000
10.2370 2.8044 0.0000
-1.5709 0.0000 7.3530
Ac Tl Cu
8 2 1
Cartesian
-0.0979 0.0000 2.0226
2.9957 0.0000 5.9687
6.3697 0.0000 3.8204
8.3150 0.0000 0.2959
10.5880 0.0000 7.0571
12.5334 0.0000 3.5326
15.9073 0.0000 1.3843
19.0010 0.0000 5.3304
3.4168 0.0000 1.8738
15.4862 0.0000 5.4792
9.4515 0.0000 3.6765
```

***

# 4
The following is a DFT calculation (PBE-GGA) of a relaxed structure of Ac2TlCu2.

Computed properties:
Energy ... -3.999 eV per atom
Formation energy from the elements ... -1.2 eV/f.u.
Space-group type ... P4/mbm, No. 127
Spin magnetization ... 0.00 μB per atom
ΔE to the lowest computed polymorph ... 13 meV/atom

Geometry as POSCAR:
```
Ac2TlCu2
1.0
8.2050 0.0000 0.0000
0.0000 8.2050 0.0000
0.0000 0.0000 4.0793
Ac Tl Cu
4 2 4
Cartesian
1.4823 2.6201 0.0000
2.6201 6.7226 0.0000
5.5848 1.4823 0.0000
6.7226 5.5848 0.0000
0.0000 0.0000 2.0396
4.1025 4.1025 2.0396
0.9031 5.0056 2.0396
3.1993 0.9031 2.0396
5.0056 7.3018 2.0396
7.3018 3.1993 2.0396
```

***

# 5
The following is a DFT calculation (PBE-GGA) of a relaxed structure of Ac3TlCu2.

Computed properties:
Energy ... -3.972 eV per atom
Formation energy from the elements ... -0.9 eV/f.u.
Space-group type ... Pmc2_1, No. 26
Spin magnetization ... 0.00 μB per atom
ΔE to the lowest computed polymorph ... 10 meV/atom

Geometry as POSCAR:
```
Ac3TlCu2
1.0
4.1987 0.0000 0.0000
0.0000 10.3146 0.0000
0.0000 0.0000 8.7400
Ac Tl Cu
6 2 4
Cartesian
0.0000 0.7945 0.0000
0.0000 9.5201 4.3700
2.0993 2.6435 3.2524
2.0993 3.7462 7.0691
2.0993 6.5684 2.6991
2.0993 7.6711 7.6224
0.0000 4.4596 0.9449
0.0000 5.8550 5.3149
0.0000 1.9662 5.5851
0.0000 8.3484 1.2151
2.0993 0.6543 6.2420
2.0993 9.6603 1.8720
```

***

# 6
The following is a DFT calculation (PBE-GGA) of a relaxed structure of Ac2Tl2Cu.

Computed properties:
Energy ... -3.656 eV per atom
Formation energy from the elements ... -1.2 eV/f.u.
Space-group type ... C2/m, No. 12
Spin magnetization ... 0.00 μB per atom

Geometry as POSCAR:
```
Ac2Tl2Cu
1.0
6.2752 -2.2324 0.0000
6.2752 2.2324 0.0000
-5.9021 0.0000 11.4117
Ac Tl Cu
4 4 2
Cartesian
-1.2035 0.0000 4.4296
-1.3944 0.0000 9.8134
8.0428 0.0000 1.5983
7.8519 0.0000 6.9822
-4.8761 0.0000 10.3268
2.2627 0.0000 4.3622
4.3857 0.0000 7.0495
11.5245 0.0000 1.0849
4.1512 0.0000 2.2030
2.4972 0.0000 9.2088
```

***

# 7
The following is a DFT calculation (PBE-GGA) of a relaxed structure of AcTlCu2.

Computed properties:
Energy ... -3.762 eV per atom
Formation energy from the elements ... -0.4 eV/f.u.
Space-group type ... R-3m, No. 166
Spin magnetization ... 0.00 μB per atom

Geometry as POSCAR:
```
AcTlCu2
1.0
2.3291 1.3447 5.0239
-2.3291 1.3447 5.0239
0.0000 -2.6894 5.0239
Ac Tl Cu
1 1 2
Cartesian
0.0000 0.0000 0.0000
0.0000 0.0000 7.5358
0.0000 0.0000 3.1227
0.0000 0.0000 11.9489
```

***

# 8
The following is a DFT calculation (PBE-GGA) of a relaxed structure of AcTlCu4.

Computed properties:
Energy ... -3.879 eV per atom
Formation energy from the elements ... -0.4 eV/f.u.
Space-group type ... F-43m, No. 216
Spin magnetization ... 0.00 μB per atom

Geometry as POSCAR:
```
AcTlCu4
1.0
0.0000 3.8101 3.8101
3.8101 0.0000 3.8101
3.8101 3.8101 0.0000
Ac Tl Cu
1 1 4
Cartesian
0.0000 0.0000 0.0000
5.7152 5.7152 5.7152
2.8711 2.8711 2.8711
4.7492 4.7492 2.8711
4.7492 2.8711 4.7492
2.8711 4.7492 4.7492
```

***

The evaluated theoretical density for the records listed, in turn: 9.9; 8.1; 9.0; 9.5; 8.9; 9.6; 9.8; 10.3 Mg/m³.